# 1
VASP calculation (PBE) on a relaxed Na2SnSe crystal.

Theoretical density ... 4.00 Mg/m³
Crystal system ... cubic
ΔE to the lowest computed polymorph ... 73 meV per atom
Formation energy from raw total energies ... -0.284 eV per atom
Total DFT energy (no corrections) ... -2.8151 eV per atom
SG ... Fm-3m (225)

Cell: 5.2281 5.2281 5.2281 Å, 60.00 60.00 60.00°
Sites, in units of the cell vectors:
Se 0.0000 0.0000 0.0000
Na 0.7500 0.7500 0.7500
Na 0.2500 0.2500 0.2500
Sn 0.5000 0.5000 0.5000

# 2
VASP calculation (PBE) on a relaxed YCuAgSn crystal.

Theoretical density ... 7.74 Mg/m³
Crystal system ... cubic
Energy relative to the elements ... -1.32 eV per formula unit
Total DFT energy (no corrections) ... -4.6844 eV per atom
SG ... F-43m (216)

Cell: 4.8629 4.8629 4.8629 Å, 60.00 60.00 60.00°
Sites, in units of the cell vectors:
Cu 0.5000 0.5000 0.5000
Y 0.7500 0.7500 0.7500
Sn 0.2500 0.2500 0.2500
Ag 0.0000 0.0000 0.0000

# 3
VASP calculation (PBE) on a relaxed As2IrCl crystal.

Theoretical density ... 9.22 Mg/m³
Crystal system ... orthorhombic
ΔE to the lowest computed polymorph ... 925 meV per atom
Formation energy from raw total energies ... 0.679 eV per atom
Total DFT energy (no corrections) ... -4.3229 eV per atom
SG ... Pmmm (47)

Cell: 3.1304 4.6044 4.7152 Å, 90.00 90.00 90.00°
Sites, in units of the cell vectors:
As 0.5000 0.5000 0.0000
As 0.0000 0.0000 0.0000
Cl 0.5000 0.0000 0.5000
Ir 0.0000 0.5000 0.5000

# 4
VASP calculation (PBE) on a relaxed K4Cd3AgF12 crystal.

Theoretical density ... 3.89 Mg/m³
Crystal system ... cubic
Formation energy from raw total energies ... -2.270 eV per atom
Total DFT energy (no corrections) ... -3.8917 eV per atom
SG ... Im-3m (229)

Cell: 7.7203 7.7203 7.7203 Å, 109.47 109.47 109.47°
Last column: magnetic moment on the atom in μB.
Sites, in units of the cell vectors:
F 0.2512 0.2512 0.0000  0.06
Cd 0.5000 0.5000 0.0000  0.02
K 0.5000 0.0000 0.0000  0.00
Cd 0.0000 0.5000 0.5000  0.02
F 0.2512 0.0000 0.2512  0.06
F 0.5000 0.7500 0.2500  0.01
F 0.7500 0.2500 0.5000  0.01
F 0.7488 0.0000 0.7488  0.06
F 0.2500 0.7500 0.5000  0.01
F 0.0000 0.2512 0.2512  0.06
F 0.2500 0.5000 0.7500  0.01
F 0.5000 0.2500 0.7500  0.01
K 0.5000 0.5000 0.5000  0.00
K 0.0000 0.0000 0.5000  0.00
K 0.0000 0.5000 0.0000  0.00
F 0.0000 0.7488 0.7488  0.06
Cd 0.5000 0.0000 0.5000  0.02
F 0.7500 0.5000 0.2500  0.01
F 0.7488 0.7488 0.0000  0.06
Ag 0.0000 0.0000 0.0000  0.53

# 5
VASP calculation (PBE) on a relaxed NaBePCl2 crystal.

Theoretical density ... 1.62 Mg/m³
Crystal system ... tetragonal
ΔE to the lowest computed polymorph ... 1094 meV per atom
Formation energy from raw total energies ... 0.664 eV per atom
Total DFT energy (no corrections) ... -2.1661 eV per atom
SG ... P4/mmm (123)

Cell: 5.0018 5.0018 5.4807 Å, 90.00 90.00 90.00°
Last column: magnetic moment on the atom in μB.
Sites, in units of the cell vectors:
Na 0.0000 0.0000 0.0000  0.01
Cl 0.5000 0.0000 0.0000  0.13
Cl 0.0000 0.5000 0.0000  0.13
Be 0.5000 0.5000 0.5000  -0.20
P 0.0000 0.0000 0.5000  0.97

# 6
VASP calculation (PBE) on a relaxed VIn3B crystal.

Theoretical density ... 4.87 Mg/m³
Crystal system ... cubic
ΔE to the lowest computed polymorph ... 457 meV per atom
Energy relative to the elements ... 6.97 eV per formula unit
Total DFT energy (no corrections) ... -3.4083 eV per atom
SG ... Pm-3m (221)

Cell: 5.1752 5.1752 5.1752 Å, 90.00 90.00 90.00°
Sites, in units of the cell vectors:
In 0.0000 0.5000 0.0000
B 0.5000 0.5000 0.5000
V 0.0000 0.0000 0.0000
In 0.5000 0.0000 0.0000
In 0.0000 0.0000 0.5000

# 7
VASP calculation (PBE) on a relaxed Ag3Te4Pd crystal.

Theoretical density ... 6.99 Mg/m³
Crystal system ... orthorhombic
Formation energy from raw total energies ... -0.031 eV per atom
Total DFT energy (no corrections) ... -3.3204 eV per atom
SG ... Pmn2_1 (31)

Cell: 8.1056 5.9916 9.2025 Å, 90.00 90.00 90.00°
Sites, in units of the cell vectors:
Ag 0.4727 0.3084 0.2684
Te 0.6861 0.3711 0.0000
Ag 0.4727 0.3084 0.7316
Te 0.6262 0.7335 0.2291
Te 0.1861 0.6289 0.5000
Te 0.1262 0.2665 0.7291
Te 0.1262 0.2665 0.2709
Ag 0.9738 0.0027 0.5000
Te 0.6262 0.7335 0.7709
Ag 0.9727 0.6916 0.7684
Pd 0.0205 0.3295 0.0000
Ag 0.9727 0.6916 0.2316
Te 0.6372 0.0941 0.5000
Ag 0.4738 0.9973 0.0000
Pd 0.5205 0.6705 0.5000
Te 0.1372 0.9059 0.0000

# 8
VASP calculation (PBE) on a relaxed PmTc12P6 crystal.

Theoretical density ... 8.59 Mg/m³
Crystal system ... trigonal
Energy relative to the elements ... -8.39 eV per formula unit
Total DFT energy (no corrections) ... -8.9470 eV per atom
SG ... R-3m (166)

Cell: 6.8760 6.8760 6.8760 Å, 103.78 103.78 103.78°
Sites, in units of the cell vectors:
Tc 0.5000 0.1342 0.8658
Tc 0.5469 0.8154 0.5469
Tc 0.4531 0.4531 0.1846
P 0.3191 0.7665 0.7665
P 0.7665 0.3191 0.7665
Tc 0.1342 0.8658 0.5000
Tc 0.4531 0.1846 0.4531
Tc 0.1342 0.5000 0.8658
Pm 0.0000 0.0000 0.0000
Tc 0.8658 0.5000 0.1342
Tc 0.1846 0.4531 0.4531
Tc 0.8658 0.1342 0.5000
Tc 0.5469 0.5469 0.8154
P 0.2335 0.2335 0.6809
Tc 0.5000 0.8658 0.1342
P 0.7665 0.7665 0.3191
P 0.6809 0.2335 0.2335
P 0.2335 0.6809 0.2335
Tc 0.8154 0.5469 0.5469

# 9
VASP calculation (PBE) on a relaxed Sm5Te4S crystal.

Theoretical density ... 7.28 Mg/m³
Crystal system ... tetragonal
Formation energy from raw total energies ... -1.490 eV per atom
Total DFT energy (no corrections) ... -5.5188 eV per atom
SG ... I4/mmm (139)

Cell: 4.3013 4.3013 16.2457 Å, 97.61 97.61 90.00°
Sites, in units of the cell vectors:
Te 0.3981 0.3981 0.7962
Sm 0.7114 0.7114 0.4228
Sm 0.2886 0.2886 0.5772
Sm 0.0844 0.0844 0.1688
Te 0.6019 0.6019 0.2038
Sm 0.9156 0.9156 0.8312
S 0.0000 0.0000 0.0000
Sm 0.5000 0.5000 0.0000
Te 0.8105 0.8105 0.6209
Te 0.1895 0.1895 0.3791

# 10
VASP calculation (PBE) on a relaxed Lu2ZrAl crystal.

Theoretical density ... 8.30 Mg/m³
Crystal system ... tetragonal
ΔE to the lowest computed polymorph ... 3 meV per atom
Energy relative to the elements ... -0.74 eV per formula unit
Total DFT energy (no corrections) ... -5.5183 eV per atom
SG ... P4/mmm (123)

Cell: 4.5734 4.5250 4.5250 Å, 90.00 90.00 90.00°
Sites, in units of the cell vectors:
Lu 0.0000 0.5000 0.0000
Al 0.5000 0.5000 0.5000
Zr 0.5000 0.0000 0.0000
Lu 0.0000 0.0000 0.5000